Record 1
Here is a relaxed TlCuPt2 crystal from Alexandria. Energies are from PBE.

a b c (Å): 2.989 3.745 5.923
angles (deg): 90.00 90.32 90.00
Sites, in units of the cell vectors:
Tl  0.000  0.000  0.000
Cu  0.000  0.000  0.500
Pt  0.499  0.500  0.271
Pt  0.501  0.500  0.729

As for the total magnetization: 0.00 μB/f.u. For the total energy, the calculation gives -4.652 eV/atom. The mass density comes out at 16.481 g/cm3.

Record 2
Here is a relaxed Li2Hf2F crystal from Alexandria. Energies are from PBE.

a b c (Å): 8.929 8.929 8.929
angles (deg): 155.65 155.65 34.71
Sites, in units of the cell vectors:
Li  0.083  0.083  0.000
Li  0.917  0.917  0.000
Hf  0.250  0.750  0.500
Hf  0.750  0.250  0.500
F  0.500  0.500  0.000

As for the total magnetization: 0.00 μB/f.u. For the total energy, the calculation gives -5.140 eV/atom. The mass density comes out at 5.354 g/cm3. The calculation puts the uncorrected formation energy at -0.0190 eV/atom.

Record 3
Here is a relaxed ReAg crystal from Alexandria. Energies are from PBE.

a b c (Å): 2.718 4.503 5.255
angles (deg): 90.00 90.00 90.00
Sites, in units of the cell vectors:
Re  0.250  0.250  0.074
Re  0.750  0.750  0.926
Ag  0.250  0.750  0.416
Ag  0.750  0.250  0.584

As for the total magnetization: 0.00 μB/f.u. For the total energy, the calculation gives -7.090 eV/atom. The mass density comes out at 15.186 g/cm3.

Record 4
Here is a relaxed Nd3InCu2 crystal from Alexandria. Energies are from PBE.

a b c (Å): 3.609 3.609 11.584
angles (deg): 90.00 90.00 90.00
Sites, in units of the cell vectors:
Nd  0.000  0.000  0.000
Nd  0.000  0.000  0.311
Nd  0.000  0.000  0.689
In  0.500  0.500  0.500
Cu  0.500  0.500  0.154
Cu  0.500  0.500  0.846

As for the total magnetization: 0.01 μB/f.u. For the total energy, the calculation gives -4.454 eV/atom. The mass density comes out at 7.423 g/cm3.

Record 5
Here is a relaxed Na6Li2Tl crystal from Alexandria. Energies are from PBE.

a b c (Å): 3.570 3.570 25.737
angles (deg): 90.00 90.00 120.00
Sites, in units of the cell vectors:
Na  0.000  0.000  0.067
Na  0.000  0.000  0.273
Na  0.000  0.000  0.727
Na  0.000  0.000  0.933
Na  0.333  0.667  0.395
Na  0.333  0.667  0.605
Li  0.333  0.667  0.169
Li  0.333  0.667  0.831
Tl  0.000  0.000  0.500

As for the total magnetization: 0.00 μB/f.u. For the total energy, the calculation gives -1.538 eV/atom. The mass density comes out at 2.082 g/cm3.

Record 6
Here is a relaxed Mg3Zn7Au4 crystal from Alexandria. Energies are from PBE.

a b c (Å): 7.247 7.247 10.653
angles (deg): 128.23 128.23 34.31
Sites, in units of the cell vectors:
Mg  0.000  0.000  0.000
Mg  0.297  0.297  0.244
Mg  0.703  0.703  0.756
Zn  0.000  0.000  0.500
Zn  0.183  0.183  0.409
Zn  0.341  0.341  0.008
Zn  0.444  0.444  0.609
Zn  0.556  0.556  0.391
Zn  0.659  0.659  0.992
Zn  0.817  0.817  0.591
Au  0.081  0.081  0.804
Au  0.341  0.341  0.764
Au  0.659  0.659  0.236
Au  0.919  0.919  0.196

As for the total magnetization: 0.00 μB/f.u. For the total energy, the calculation gives -2.200 eV/atom. The mass density comes out at 9.113 g/cm3.

Record 7
Here is a relaxed Na2SrBr4 crystal from Alexandria. Energies are from PBE.

a b c (Å): 8.079 8.079 7.421
angles (deg): 112.89 112.89 32.51
Sites, in units of the cell vectors:
Na  0.213  0.213  0.186
Na  0.787  0.787  0.814
Sr  0.500  0.500  0.500
Br  0.135  0.135  0.488
Br  0.375  0.375  0.062
Br  0.625  0.625  0.938
Br  0.865  0.865  0.512

As for the total magnetization: 0.00 μB/f.u. For the total energy, the calculation gives -3.344 eV/atom. The mass density comes out at 3.162 g/cm3. The calculation puts the uncorrected formation energy at -1.7709 eV/atom.

Record 8
Here is a relaxed TlTeAs2 crystal from Alexandria. Energies are from PBE.

a b c (Å): 7.133 7.133 7.133
angles (deg): 34.54 34.54 34.54
Sites, in units of the cell vectors:
Tl  0.000  0.000  0.000
Te  0.500  0.500  0.500
As  0.246  0.246  0.246
As  0.754  0.754  0.754

As for the total magnetization: 0.00 μB/f.u. For the total energy, the calculation gives -3.546 eV/atom. The mass density comes out at 7.685 g/cm3. The calculation puts the uncorrected formation energy at 0.1556 eV/atom.

Record 9
Here is a relaxed BaLi5Ca crystal from Alexandria. Energies are from PBE.

a b c (Å): 10.349 6.300 12.872
angles (deg): 90.00 90.00 90.00
Sites, in units of the cell vectors:
Ba  0.244  0.250  0.063
Ba  0.256  0.750  0.563
Ba  0.744  0.250  0.437
Ba  0.756  0.750  0.937
Li  0.043  0.750  0.118
Li  0.066  0.501  0.317
Li  0.066  0.999  0.317
Li  0.079  0.250  0.517
Li  0.190  0.250  0.739
Li  0.310  0.750  0.239
Li  0.421  0.750  0.017
Li  0.434  0.001  0.817
Li  0.434  0.499  0.817
Li  0.457  0.250  0.618
Li  0.543  0.750  0.382
Li  0.566  0.501  0.183
Li  0.566  0.999  0.183
Li  0.579  0.250  0.983
Li  0.690  0.250  0.761
Li  0.810  0.750  0.261
Li  0.921  0.750  0.483
Li  0.934  0.001  0.683
Li  0.934  0.499  0.683
Li  0.957  0.250  0.882
Ca  0.136  0.750  0.867
Ca  0.364  0.250  0.367
Ca  0.636  0.750  0.633
Ca  0.864  0.250  0.133

As for the total magnetization: 0.00 μB/f.u. For the total energy, the calculation gives -1.911 eV/atom. The mass density comes out at 1.679 g/cm3.

Record 10
Here is a relaxed Li2SbI2 crystal from Alexandria. Energies are from PBE.

a b c (Å): 8.388 8.388 3.830
angles (deg): 90.00 90.00 90.00
Sites, in units of the cell vectors:
Li  0.153  0.347  0.000
Li  0.347  0.847  0.000
Li  0.653  0.153  0.000
Li  0.847  0.653  0.000
Sb  0.000  0.000  0.000
Sb  0.500  0.500  0.000
I  0.164  0.664  0.500
I  0.336  0.164  0.500
I  0.664  0.836  0.500
I  0.836  0.336  0.500

As for the total magnetization: 0.00 μB/f.u. For the total energy, the calculation gives -2.607 eV/atom. The mass density comes out at 4.799 g/cm3. The calculation puts the uncorrected formation energy at -0.3973 eV/atom.

Record 11
Here is a relaxed Re2RuAu crystal from Alexandria. Energies are from PBE.

a b c (Å): 4.449 4.449 4.449
angles (deg): 60.00 60.00 60.00
Sites, in units of the cell vectors:
Re  0.250  0.250  0.250
Re  0.750  0.750  0.750
Ru  0.000  0.000  0.000
Au  0.500  0.500  0.500

As for the total magnetization: 0.00 μB/f.u. For the total energy, the calculation gives -8.533 eV/atom. The mass density comes out at 17.873 g/cm3.

Record 12
Here is a relaxed NaScCd4 crystal from Alexandria. Energies are from PBE.

a b c (Å): 5.838 5.838 5.838
angles (deg): 60.00 60.00 60.00
Sites, in units of the cell vectors:
Na  0.000  0.000  0.000
Sc  0.750  0.750  0.750
Cd  0.375  0.375  0.375
Cd  0.375  0.375  0.874
Cd  0.375  0.874  0.375
Cd  0.874  0.375  0.375

As for the total magnetization: 0.00 μB/f.u. For the total energy, the calculation gives -1.941 eV/atom. The mass density comes out at 6.108 g/cm3.

Record 13
Here is a relaxed CePmAgSn crystal from Alexandria. Energies are from PBE.

a b c (Å): 5.385 5.385 5.385
angles (deg): 60.00 60.00 60.00
Sites, in units of the cell vectors:
Ce  0.000  0.000  0.000
Pm  0.500  0.500  0.500
Ag  0.250  0.250  0.250
Sn  0.750  0.750  0.750

As for the total magnetization: 1.96 μB/f.u. For the total energy, the calculation gives -4.809 eV/atom. The mass density comes out at 7.697 g/cm3.

Number 1: DOS at the Fermi energy 1.023 states/eV/f.u.. Number 2: DOS at the Fermi energy 2.676 states/eV/f.u.. Number 3: DOS at the Fermi energy 1.432 states/eV/f.u.. Number 4: DOS at the Fermi energy 5.539 states/eV/f.u.. Number 5: DOS at the Fermi energy 4.630 states/eV/f.u.. Number 6: DOS at the Fermi energy 3.310 states/eV/f.u.. Number 7: DOS at the Fermi energy 0.000 states/eV/f.u.. Number 8: DOS at the Fermi energy 1.329 states/eV/f.u.. Number 9: DOS at the Fermi energy 5.541 states/eV/f.u.. Number 10: DOS at the Fermi energy 2.478 states/eV/f.u.. Number 11: DOS at the Fermi energy 5.159 states/eV/f.u.. Number 12: DOS at the Fermi energy 4.281 states/eV/f.u.. Number 13: DOS at the Fermi energy 9.765 states/eV/f.u..